Entry 1:
4
Lattice="0.000 3.335 3.335 3.335 0.000 3.335 3.335 3.335 0.000" Properties=species:S:1:pos:R:3 comment="TaZn2Cl (PBE, optimized geometry)" total_magnetization_mub_per_fu=0.000 volume_a3_per_cell=74.2 relative_energy_mev_per_atom=1011.3 mass_density_g_cm3=7.77 final_energy_ev_per_atom=-3.191 raw_formation_energy_mev_per_atom=871 pbc="T T T"
Ta 0.000 0.000 0.000
Zn 1.667 1.667 1.667
Zn 5.002 5.002 5.002
Cl 3.335 3.335 3.335


Entry 2:
4
Lattice="-1.829 1.829 4.857 1.829 -1.829 4.857 1.829 1.829 -4.857" Properties=species:S:1:pos:R:3 comment="TaZn2Cl (PBE, optimized geometry)" total_magnetization_mub_per_fu=0.000 volume_a3_per_cell=65.0 relative_energy_mev_per_atom=603.9 mass_density_g_cm3=8.87 final_energy_ev_per_atom=-3.598 raw_formation_energy_mev_per_atom=463 pbc="T T T"
Ta 0.000 0.000 0.000
Zn 1.829 0.000 2.428
Zn 0.000 1.829 2.428
Cl 0.000 0.000 4.857


Entry 3:
4
Lattice="1.475 -2.950 0.000 1.475 2.950 0.000 0.000 0.000 10.686" Properties=species:S:1:pos:R:3 comment="TaZnCl2 (PBE, optimized geometry)" total_magnetization_mub_per_fu=0.000 volume_a3_per_cell=93.0 relative_energy_mev_per_atom=157.9 mass_density_g_cm3=5.67 final_energy_ev_per_atom=-4.487 raw_formation_energy_mev_per_atom=-282 pbc="T T T"
Ta 0.000 0.000 0.000
Zn 0.000 0.000 5.343
Cl 1.475 0.000 2.006
Cl 1.475 0.000 8.680


Entry 4:
3
Lattice="4.456 0.000 0.000 -2.228 3.859 0.000 0.000 0.000 2.938" Properties=species:S:1:pos:R:3 comment="TaZnCl (PBE, optimized geometry)" total_magnetization_mub_per_fu=0.000 volume_a3_per_cell=50.5 relative_energy_mev_per_atom=499.8 mass_density_g_cm3=9.26 final_energy_ev_per_atom=-4.715 raw_formation_energy_mev_per_atom=276 pbc="T T T"
Ta 0.000 0.000 0.000
Zn 0.000 2.572 1.469
Cl 2.228 1.286 0.000


Entry 5:
4
Lattice="3.085 0.000 0.000 0.000 4.348 0.000 -0.224 0.000 5.452" Properties=species:S:1:pos:R:3 comment="TaZnCl2 (PBE, optimized geometry)" total_magnetization_mub_per_fu=0.000 volume_a3_per_cell=73.1 relative_energy_mev_per_atom=358.5 mass_density_g_cm3=7.20 final_energy_ev_per_atom=-4.287 raw_formation_energy_mev_per_atom=-82 pbc="T T T"
Ta 0.000 0.000 0.000
Zn 1.430 0.000 2.726
Cl 0.405 2.174 1.302
Cl 2.456 2.174 4.151


Entry 6:
4
Lattice="2.984 0.000 0.000 0.000 4.385 0.000 0.000 0.000 5.479" Properties=species:S:1:pos:R:3 comment="TaZnCl2 (PBE, optimized geometry)" total_magnetization_mub_per_fu=0.119 volume_a3_per_cell=71.7 relative_energy_mev_per_atom=642.6 mass_density_g_cm3=7.35 final_energy_ev_per_atom=-4.003 raw_formation_energy_mev_per_atom=202 pbc="T T T"
Ta 0.000 0.000 0.000
Zn 1.492 0.000 2.740
Cl 0.000 2.192 2.740
Cl 1.492 2.192 0.000


Entry 7:
4
Lattice="-1.400 2.141 6.125 1.400 -2.141 6.125 1.400 2.141 -6.125" Properties=species:S:1:pos:R:3 comment="TaZn2Cl (PBE, optimized geometry)" total_magnetization_mub_per_fu=0.000 volume_a3_per_cell=73.4 relative_energy_mev_per_atom=422.1 mass_density_g_cm3=7.85 final_energy_ev_per_atom=-3.780 raw_formation_energy_mev_per_atom=282 pbc="T T T"
Ta 0.000 0.000 0.000
Zn 1.400 0.000 2.523
Zn 0.000 2.141 3.601
Cl 0.000 0.000 6.125


Entry 8:
4
Lattice="1.551 0.895 10.407 -1.551 0.895 10.407 0.000 -1.791 10.407" Properties=species:S:1:pos:R:3 comment="TaZnCl2 (PBE, optimized geometry)" total_magnetization_mub_per_fu=0.000 volume_a3_per_cell=86.7 relative_energy_mev_per_atom=0.0 mass_density_g_cm3=6.08 final_energy_ev_per_atom=-4.645 raw_formation_energy_mev_per_atom=-440 pbc="T T T"
Ta 0.000 0.000 0.000
Zn 0.000 0.000 15.611
Cl 0.000 0.000 8.592
Cl 0.000 0.000 22.630


Entry 9:
4
Lattice="1.546 0.892 10.199 -1.546 0.892 10.199 0.000 -1.785 10.199" Properties=species:S:1:pos:R:3 comment="TaZnCl2 (PBE, optimized geometry)" total_magnetization_mub_per_fu=0.000 volume_a3_per_cell=84.4 relative_energy_mev_per_atom=4.9 mass_density_g_cm3=6.24 final_energy_ev_per_atom=-4.640 raw_formation_energy_mev_per_atom=-435 pbc="T T T"
Ta 0.000 0.000 0.000
Zn 0.000 0.000 15.299
Cl 0.000 0.000 12.023
Cl 0.000 0.000 18.575


Entry 10:
4
Lattice="-1.518 2.302 6.568 1.518 -2.302 6.568 1.518 2.302 -6.568" Properties=species:S:1:pos:R:3 comment="TaZnCl2 (PBE, optimized geometry)" total_magnetization_mub_per_fu=1.132 volume_a3_per_cell=91.8 relative_energy_mev_per_atom=354.6 mass_density_g_cm3=5.74 final_energy_ev_per_atom=-4.291 raw_formation_energy_mev_per_atom=-86 pbc="T T T"
Ta 0.000 0.000 0.000
Zn 1.518 0.000 2.267
Cl 0.000 0.000 6.810
Cl 0.000 2.302 4.551


Entry 11:
4
Lattice="1.551 -2.895 0.000 1.551 2.895 0.000 0.000 0.000 9.635" Properties=species:S:1:pos:R:3 comment="TaZnCl2 (PBE, optimized geometry)" total_magnetization_mub_per_fu=0.000 volume_a3_per_cell=86.5 relative_energy_mev_per_atom=70.3 mass_density_g_cm3=6.09 final_energy_ev_per_atom=-4.575 raw_formation_energy_mev_per_atom=-370 pbc="T T T"
Ta 0.000 0.000 0.000
Zn 1.551 0.000 2.288
Cl 0.000 0.000 3.992
Cl 1.551 0.000 7.710


Entry 12:
4
Lattice="3.085 0.000 0.000 0.000 3.085 0.000 0.000 0.000 8.218" Properties=species:S:1:pos:R:3 comment="TaZnCl2 (PBE, optimized geometry)" total_magnetization_mub_per_fu=0.761 volume_a3_per_cell=78.2 relative_energy_mev_per_atom=195.5 mass_density_g_cm3=6.73 final_energy_ev_per_atom=-4.450 raw_formation_energy_mev_per_atom=-245 pbc="T T T"
Ta 0.000 0.000 0.000
Zn 1.543 1.543 1.930
Cl 0.000 0.000 3.455
Cl 1.543 1.543 6.695


- Number 5 is which compound?
  TaZnCl2


- Which formula does entry 6 have?
  TaZnCl2